# GGA-PBE YMgPd5, relaxed
# theoretical density: 8.5 g/cm3
# raw total energy: -37.93 eV for the cell shown
data_YMgPd5
_cell_length_a 4.1465
_cell_length_b 4.1465
_cell_length_c 7.3453
_cell_angle_alpha 90.00
_cell_angle_beta 90.00
_cell_angle_gamma 90.00
_space_group_name_H-M_alt 'P 4/m m m'
_space_group_IT_number 123
_space_group_name_Hall '-P 4 2'
loop_
_atom_site_label
_atom_site_fract_x
_atom_site_fract_y
_atom_site_fract_z
_atom_site_occupancy
Y1 0.0000 0.0000 0.0000 1
Mg1 0.5000 0.5000 0.5000 1
Pd1 0.0000 0.5000 0.2774 1
Pd2 0.5000 0.5000 0.0000 1